Record 1
# NdScIr, optimized geometry, DFT PBE-GGA
# Symmetry   F-43m
# ΔE_f   -0.545 eV per atom
# Energy above the most stable polymorph in this dataset   136 meV/atom
data_NdScIr
_symmetry_space_group_name_H-M 'P 1'
_symmetry_Int_Tables_number 1
_cell_length_a 4.756
_cell_length_b 4.756
_cell_length_c 4.756
_cell_angle_alpha 60.00
_cell_angle_beta 60.00
_cell_angle_gamma 60.00
loop_
_symmetry_equiv_pos_as_xyz
'x,y,z'
loop_
_atom_site_label
_atom_site_fract_x
_atom_site_fract_y
_atom_site_fract_z
_atom_site_occupancy
Ir1 0.250 0.250 0.250 1
Sc1 0.000 0.000 0.000 1
Nd1 0.500 0.500 0.500 1

---

Record 2
# NdScIr, optimized geometry, DFT PBE-GGA
# Symmetry   I4mm
# ΔE_f   -0.494 eV per atom
# Energy above the most stable polymorph in this dataset   187 meV/atom
data_NdScIr
_symmetry_space_group_name_H-M 'P 1'
_symmetry_Int_Tables_number 1
_cell_length_a 3.327
_cell_length_b 3.327
_cell_length_c 6.825
_cell_angle_alpha 104.11
_cell_angle_beta 104.11
_cell_angle_gamma 90.00
loop_
_symmetry_equiv_pos_as_xyz
'x,y,z'
loop_
_atom_site_label
_atom_site_fract_x
_atom_site_fract_y
_atom_site_fract_z
_atom_site_occupancy
Ir1 0.683 0.683 0.365 1
Nd1 0.025 0.025 0.051 1
Sc1 0.292 0.292 0.584 1

---

Record 3
# NdScIr2, optimized geometry, DFT PBE-GGA
# Symmetry   P4/mmm
# ΔE_f   -0.730 eV per atom
# Energy above the most stable polymorph in this dataset   0 meV/atom
data_NdScIr2
_symmetry_space_group_name_H-M 'P 1'
_symmetry_Int_Tables_number 1
_cell_length_a 3.278
_cell_length_b 3.278
_cell_length_c 7.206
_cell_angle_alpha 90.00
_cell_angle_beta 90.00
_cell_angle_gamma 90.00
loop_
_symmetry_equiv_pos_as_xyz
'x,y,z'
loop_
_atom_site_label
_atom_site_fract_x
_atom_site_fract_y
_atom_site_fract_z
_atom_site_occupancy
Ir1 0.000 0.000 0.780 1
Ir2 0.000 0.000 0.220 1
Sc1 0.500 0.500 0.000 1
Nd1 0.500 0.500 0.500 1

---

Record 4
# NdScIr2, optimized geometry, DFT PBE-GGA
# Symmetry   Fm-3m
# ΔE_f   -0.657 eV per atom
# Energy above the most stable polymorph in this dataset   73 meV/atom
data_NdScIr2
_symmetry_space_group_name_H-M 'P 1'
_symmetry_Int_Tables_number 1
_cell_length_a 4.811
_cell_length_b 4.811
_cell_length_c 4.811
_cell_angle_alpha 60.00
_cell_angle_beta 60.00
_cell_angle_gamma 60.00
loop_
_symmetry_equiv_pos_as_xyz
'x,y,z'
loop_
_atom_site_label
_atom_site_fract_x
_atom_site_fract_y
_atom_site_fract_z
_atom_site_occupancy
Sc1 0.500 0.500 0.500 1
Ir1 0.250 0.250 0.250 1
Ir2 0.750 0.750 0.750 1
Nd1 0.000 0.000 0.000 1

---

Record 5
# Nd2ScSi3Ir4, optimized geometry, DFT PBE-GGA
# Energy relative to the elements, uncorrected   -1.0063 eV per atom
# Symmetry   P-4m2
data_Nd2ScSi3Ir4
_symmetry_space_group_name_H-M 'P 1'
_symmetry_Int_Tables_number 1
_cell_length_a 4.132
_cell_length_b 4.132
_cell_length_c 10.687
_cell_angle_alpha 90.00
_cell_angle_beta 90.00
_cell_angle_gamma 90.00
loop_
_symmetry_equiv_pos_as_xyz
'x,y,z'
loop_
_atom_site_label
_atom_site_fract_x
_atom_site_fract_y
_atom_site_fract_z
_atom_site_occupancy
Ir1 0.500 0.500 0.000 1
Ir2 0.000 0.000 0.000 1
Ir3 0.000 0.500 0.350 1
Ir4 0.500 0.000 0.650 1
Si1 0.000 0.000 0.500 1
Si2 0.500 0.000 0.879 1
Si3 0.000 0.500 0.121 1
Nd1 0.000 0.500 0.761 1
Nd2 0.500 0.000 0.239 1
Sc1 0.500 0.500 0.500 1

---

Record 6
# Nd2ScSn3Ir4, optimized geometry, DFT PBE-GGA
# Symmetry   P-4m2
# ΔE_f   -0.647 eV per atom
data_Nd2ScSn3Ir4
_symmetry_space_group_name_H-M 'P 1'
_symmetry_Int_Tables_number 1
_cell_length_a 4.345
_cell_length_b 4.345
_cell_length_c 11.513
_cell_angle_alpha 90.00
_cell_angle_beta 90.00
_cell_angle_gamma 90.00
loop_
_symmetry_equiv_pos_as_xyz
'x,y,z'
loop_
_atom_site_label
_atom_site_fract_x
_atom_site_fract_y
_atom_site_fract_z
_atom_site_occupancy
Ir1 0.500 0.500 0.000 1
Ir2 0.000 0.500 0.358 1
Ir3 0.500 0.000 0.642 1
Ir4 0.000 0.000 0.000 1
Sn1 0.500 0.000 0.870 1
Sn2 0.000 0.500 0.130 1
Sn3 0.000 0.000 0.500 1
Sc1 0.500 0.500 0.500 1
Nd1 0.000 0.500 0.761 1
Nd2 0.500 0.000 0.239 1

---

Record 7
# NdScTaIr2, optimized geometry, DFT PBE-GGA
# Symmetry   I-4m2
# ΔE_f   -0.695 eV per atom
data_NdScTaIr2
_symmetry_space_group_name_H-M 'P 1'
_symmetry_Int_Tables_number 1
_cell_length_a 4.431
_cell_length_b 4.431
_cell_length_c 6.277
_cell_angle_alpha 110.67
_cell_angle_beta 110.67
_cell_angle_gamma 90.00
loop_
_symmetry_equiv_pos_as_xyz
'x,y,z'
loop_
_atom_site_label
_atom_site_fract_x
_atom_site_fract_y
_atom_site_fract_z
_atom_site_occupancy
Nd1 0.000 0.000 0.000 1
Ta1 0.750 0.250 0.500 1
Sc1 0.250 0.750 0.500 1
Ir1 0.380 0.380 0.760 1
Ir2 0.620 0.620 0.240 1

---

Record 8
# Nd4Ir2Se, optimized geometry, DFT PBE-GGA
# Energy relative to the elements, uncorrected   -0.8762 eV per atom
# Symmetry   I-42d
data_Nd4Ir2Se
_symmetry_space_group_name_H-M 'P 1'
_symmetry_Int_Tables_number 1
_cell_length_a 7.826
_cell_length_b 7.826
_cell_length_c 7.826
_cell_angle_alpha 109.25
_cell_angle_beta 109.91
_cell_angle_gamma 109.25
loop_
_symmetry_equiv_pos_as_xyz
'x,y,z'
loop_
_atom_site_label
_atom_site_fract_x
_atom_site_fract_y
_atom_site_fract_z
_atom_site_occupancy
Nd1 0.610 0.751 0.488 1
Nd2 0.238 0.251 0.860 1
Nd3 0.140 0.378 0.391 1
Nd4 0.013 0.622 0.762 1
Nd5 0.141 0.878 0.390 1
Nd6 0.737 0.249 0.859 1
Nd7 0.609 0.749 0.987 1
Nd8 0.512 0.122 0.263 1
Se1 0.000 0.000 0.000 1
Se2 0.750 0.500 0.250 1
Ir1 0.263 0.638 0.125 1
Ir2 0.375 0.862 0.737 1
Ir3 0.487 0.362 0.625 1
Ir4 0.875 0.138 0.513 1

---

The records above give, respectively, calculated density values of 8.33; 8.93; 12.30; 12.10; 10.80; 11.14; 11.73; 9.36 g/cm³.
The records above give, respectively, DOS(E_F) values of 3.65; 4.05; 0.84; 2.36; 4.90; 5.81; 4.43; 5.65 states/eV/f.u..